(1)
The following is a meta-GGA SCAN calculation of a crystal of ZnCu2Ag relaxed with PBEsol, from Alexandria via LeMat-Bulk.

Lattice parameters (Å, degrees): 3.762 3.762 4.581 114.24 114.24 90.00
Positions (direct):
Zn: 0.500 0.500 0.000
Cu: 0.000 0.000 0.000
Cu: 0.750 0.250 0.500
Ag: 0.250 0.750 0.500

(2)
The following is a meta-GGA SCAN calculation of a crystal of ZnCuAg2 relaxed with PBEsol, from Alexandria via LeMat-Bulk.

Lattice parameters (Å, degrees): 2.891 4.517 5.044 112.01 106.65 90.00
Positions (direct):
Zn: 0.765 0.223 0.531
Cu: 0.486 0.529 0.972
Ag: 0.011 0.045 0.023
Ag: 0.238 0.702 0.475

(3)
The following is a meta-GGA SCAN calculation of a crystal of Zn2CuAg relaxed with PBEsol, from Alexandria via LeMat-Bulk.

Lattice parameters (Å, degrees): 2.786 4.523 4.735 103.09 107.11 90.00
Positions (direct):
Zn: 0.997 0.986 0.993
Zn: 0.745 0.252 0.490
Cu: 0.257 0.767 0.514
Ag: 0.501 0.494 0.003

| no. | E (eV/atom) |
| --- | --- |
| 1 | -18.798 |
| 2 | -22.841 |
| 3 | -18.410 |